# 1
# CdCu4Hg GGA-PBE optimized geometry
# Final energy, eV per cell: -17.1
# DFT formation energy, meV/atom: 77
# Symmetry: No. 216
# Total magnetic moment, μB/atom: 0.000
data_CdCu4Hg
_cell_length_a 5.052
_cell_length_b 5.052
_cell_length_c 5.052
_cell_angle_alpha 60.00
_cell_angle_beta 60.00
_cell_angle_gamma 60.00
_symmetry_space_group_name_H-M 'P 1'
_symmetry_Int_Tables_number 1
_symmetry_space_group_name_Hall 'P 1'
loop_
_atom_site_label
_atom_site_fract_x
_atom_site_fract_y
_atom_site_fract_z
Cd1 0.000 0.000 0.000
Cu1 0.124 0.625 0.625
Cu2 0.625 0.124 0.625
Cu3 0.625 0.625 0.124
Cu4 0.625 0.625 0.625
Hg1 0.250 0.250 0.250

***

# 2
# Ac2DyAg3Hg12 GGA-PBE optimized geometry
# Final energy, eV per cell: -25.2
# DFT formation energy, meV/atom: -12
# Symmetry: No. 166
# Total magnetic moment, μB/atom: 0.000
data_Ac2DyAg3Hg12
_cell_length_a 9.280
_cell_length_b 9.280
_cell_length_c 9.280
_cell_angle_alpha 57.98
_cell_angle_beta 57.98
_cell_angle_gamma 57.98
_symmetry_space_group_name_H-M 'P 1'
_symmetry_Int_Tables_number 1
_symmetry_space_group_name_Hall 'P 1'
loop_
_atom_site_label
_atom_site_fract_x
_atom_site_fract_y
_atom_site_fract_z
Ac1 0.092 0.092 0.092
Ac2 0.908 0.908 0.908
Dy1 0.500 0.500 0.500
Ag1 0.000 0.500 0.500
Ag2 0.500 0.000 0.500
Ag3 0.500 0.500 0.000
Hg1 0.036 0.671 0.671
Hg2 0.265 0.265 0.660
Hg3 0.265 0.660 0.265
Hg4 0.329 0.329 0.964
Hg5 0.329 0.964 0.329
Hg6 0.340 0.735 0.735
Hg7 0.660 0.265 0.265
Hg8 0.671 0.036 0.671
Hg9 0.671 0.671 0.036
Hg10 0.735 0.340 0.735
Hg11 0.735 0.735 0.340
Hg12 0.964 0.329 0.329